Tb3ThSc: optimized geometry, PBE-GGA.

a = 16.5173 Å, b = 5.3444 Å, c = 6.9136 Å
α = 90.00°, β = 90.45°, γ = 90.00°
Last column: nearest neighbours and their distance in Å.
Space group C2/m (No. 12)
Inequivalent atoms, fractional coordinates:
Tb 0.0016 0.0000 0.2438 (multiplicity 4)  1 Sc 3.26, 3 Tb 3.36-3.54, 4 Th 3.61
Tb 0.1143 0.5000 0.4959 (multiplicity 4)  2 Th 3.45-3.47, 8 Tb 3.49-3.78, 3 Sc 3.50-3.57
Tb 0.2018 0.0000 0.7484 (multiplicity 4)  4 Sc 3.13-3.51, 4 Tb 3.36-3.50
Th 0.1057 0.5000 0.9974 (multiplicity 4)  9 Tb 3.45-3.62, 1 Th 3.49, 3 Sc 3.51-3.63
Sc 0.1991 0.0000 0.2407 (multiplicity 4)  7 Tb 3.13-3.51, 2 Th 3.51

Summary:
E_tot, eV/atom: -5.4785
Energy relative to the elements, eV/atom: 0.050
E above lowest polymorph, eV per atom: 0.004
Calculated density, g cm⁻³: 8.20
DOS at the Fermi energy, states/eV per cell: 29.17